[1]
This record from Alexandria via LeMat-Bulk describes crystalline DyThRhAu at its relaxed geometry. The functional is PBE.

Cell lengths 4.1529, 3.9318, 11.7626 Å; angles 90.00, 90.00, 90.00 degrees
Last column: nearest neighbours and their distance in Å.
Space group Amm2 (No. 38)
Asymmetric unit:
Dy (0.0000, 0.0000, 0.0000)  1 Rh 2.93, 4 Au 2.96
Th (0.5000, 0.0000, 0.7192)  4 Rh 2.88, 2 Au 3.22
Rh (0.0000, 0.0000, 0.2490)  4 Th 2.88, 1 Dy 2.93, 2 Au 3.03
Au (0.5000, 0.0000, 0.4361)  4 Dy 2.96, 2 Rh 3.03, 2 Th 3.22

ΔE_f: -0.90 eV per atom
energy relative to the lowest polymorph listed for this composition: 0.000 eV per atom
energy: -6.562 eV per atom

[2]
This record from Alexandria via LeMat-Bulk describes crystalline LiTlBr3 at its relaxed geometry. The functional is PBE.

Cell lengths 5.2621, 5.2621, 5.2621 Å; angles 90.00, 90.00, 90.00 degrees
Last column: nearest neighbours and their distance in Å.
Space group Pm-3m (No. 221)
Asymmetric unit:
Li (0.0000, 0.0000, 0.0000)  6 Br 2.63
Tl (0.5000, 0.5000, 0.5000)  12 Br 3.72
Br (0.0000, 0.0000, 0.5000)  2 Li 2.63

energy relative to the lowest polymorph listed for this composition: 0.000 eV per atom
energy: -2.632 eV per atom
raw formation energy: -0.77 eV per atom

[3]
This record from Alexandria via LeMat-Bulk describes crystalline CeSi4Ni2Ir at its relaxed geometry. The functional is PBE.

Cell lengths 3.9574, 3.9574, 26.4278 Å; angles 90.00, 90.00, 120.00 degrees
Last column: nearest neighbours and their distance in Å.
Space group R-3m (No. 166, hexagonal axes)
Asymmetric unit:
Ce (0.0000, 0.0000, 0.0000)  8 Si 2.94-3.23
Si (0.0000, 0.0000, 0.1222)  3 Ni 2.40, 3 Ir 2.57, 3 Si 2.67
Si (0.0000, 0.0000, 0.4030)  3 Ni 2.38, 1 Ir 2.56
Ni (0.0000, 0.0000, 0.2390)  6 Si 2.38-2.40
Ir (0.0000, 0.0000, 0.5000)  8 Si 2.56-2.57

energy: -6.514 eV per atom
raw formation energy: -0.51 eV per atom

[4]
This record from Alexandria via LeMat-Bulk describes crystalline LiIr2Br at its relaxed geometry. The functional is PBE.

Cell lengths 2.8514, 4.3575, 12.0377 Å; angles 90.00, 90.00, 90.00 degrees
Last column: nearest neighbours and their distance in Å.
Space group Imm2 (No. 44)
Asymmetric unit:
Li (0.0000, 0.0000, 0.0000)  6 Ir 2.61-2.68, 2 Li 2.85
Ir (0.0000, 0.0000, 0.4465)  2 Ir 2.53, 2 Br 2.57, 4 Li 2.68
Ir (0.0000, 0.5000, 0.1201)  2 Ir 2.53, 2 Li 2.61
Br (0.0000, 0.5000, 0.7692)  2 Ir 2.57, 2 Br 2.85

energy relative to the lowest polymorph listed for this composition: 0.408 eV per atom
energy: -4.819 eV per atom
raw formation energy: 0.51 eV per atom

Number 1: M_tot 0.0 μB/cell, Fermi-level density of states 0.58 states/eV/atom, calculated density 12.01 Mg/m³. Number 2: M_tot 0.9 μB/cell, Fermi-level density of states 1.47 states/eV/atom, calculated density 5.14 Mg/m³. Number 3: M_tot 0.6 μB/cell, Fermi-level density of states 0.76 states/eV/atom, calculated density 7.81 Mg/m³. Number 4: M_tot 0.0 μB/cell, Fermi-level density of states 1.09 states/eV/atom, calculated density 10.46 Mg/m³.